Record 1
{"formula": "ScReMoAs2", "functional": "PBE-GGA", "state": "relaxed", "formation_enthalpy_0k_ev_per_atom": 0.939, "sg": "P4/mmm, No. 123", "cell": [[4.766, 0.000, 0.000], [0.000, 5.056, 0.000], [0.000, 0.000, 4.766]], "species": ["As", "As", "Mo", "Sc", "Re"], "frac_coords": [[0.000, 0.000, 0.500], [0.500, 0.000, 0.000], [0.500, 0.500, 0.500], [0.000, 0.500, 0.000], [0.000, 0.000, 0.000]]}

***

Record 2
{"formula": "ReMo2AsSe", "functional": "PBE-GGA", "state": "relaxed", "e_form_raw_ev_per_atom": 1.447, "sg": "P4/mmm, No. 123", "cell": [[-4.251, -1.318, 1.364], [-0.602, -2.177, -3.981], [1.796, -3.877, 1.849]], "species": ["Mo", "Se", "Mo", "Re", "As"], "frac_coords": [[0.500, 0.000, 0.000], [0.500, 0.500, 0.500], [0.000, 0.000, 0.500], [0.000, 0.500, 0.000], [0.000, 0.000, 0.000]]}

***

Record 3
{"formula": "ReMoAs2Se", "functional": "PBE-GGA", "state": "relaxed", "e_form_raw_ev_per_atom": 1.123, "sg": "P4/mmm, No. 123", "cell": [[-0.889, -4.587, 0.228], [4.501, -0.916, -0.888], [1.053, 0.058, 5.276]], "species": ["Mo", "Se", "Re", "As", "As"], "frac_coords": [[0.500, 0.500, 0.500], [0.000, 0.000, 0.500], [0.000, 0.000, 0.000], [0.500, 0.000, 0.000], [0.000, 0.500, 0.000]]}

***

Record 4
{"formula": "ZnReMo2As", "functional": "PBE-GGA", "state": "relaxed", "formation_enthalpy_0k_ev_per_atom": 1.310, "sg": "P4/mmm, No. 123", "cell": [[4.600, 0.000, 0.000], [0.000, 4.553, 0.000], [0.000, 0.000, 4.600]], "species": ["Mo", "Zn", "Mo", "As", "Re"], "frac_coords": [[0.500, 0.000, 0.000], [0.500, 0.500, 0.500], [0.000, 0.000, 0.500], [0.000, 0.000, 0.000], [0.000, 0.500, 0.000]]}

***

Record 5
{"formula": "ZrReMoAs2", "functional": "PBE-GGA", "state": "relaxed", "formation_enthalpy_0k_ev_per_atom": 0.941, "sg": "P4/mmm, No. 123", "cell": [[-0.812, -3.418, 3.172], [4.483, 0.314, 1.486], [-1.325, 3.365, 3.287]], "species": ["As", "As", "Re", "Zr", "Mo"], "frac_coords": [[0.500, 0.000, 0.000], [0.000, 0.500, 0.000], [0.000, 0.000, 0.000], [0.500, 0.500, 0.500], [0.000, 0.000, 0.500]]}

***

Record 6
{"formula": "MoAsRh2", "functional": "PBE-GGA", "state": "relaxed", "formation_enthalpy_0k_ev_per_atom": -0.102, "sg": "C2/m, No. 12", "cell": [[-0.712, 4.456, 1.469], [-2.464, 3.990, -0.727], [-3.422, -1.056, 2.955]], "species": ["As", "Mo", "Rh", "Rh"], "frac_coords": [[0.750, 0.750, 0.750], [0.250, 0.250, 0.250], [0.991, 0.991, 0.006], [0.509, 0.509, 0.494]]}

***

Record 7
{"formula": "MoAsRh", "functional": "PBE-GGA", "state": "relaxed", "formation_enthalpy_0k_ev_per_atom": 0.068, "sg": "R-3m, No. 166", "cell": [[-0.983, -2.138, 3.606], [0.633, -4.254, 0.221], [5.950, -1.111, 3.535]], "species": ["As", "Rh", "As", "Rh", "Mo", "Mo"], "frac_coords": [[0.776, 0.776, 0.672], [0.930, 0.930, 0.211], [0.224, 0.224, 0.328], [0.070, 0.070, 0.789], [0.639, 0.639, 0.083], [0.361, 0.361, 0.917]]}

***

Record 8
{"formula": "MoAs2Rh", "functional": "PBE-GGA", "state": "relaxed", "formation_enthalpy_0k_ev_per_atom": -0.120, "sg": "P2/m, No. 10", "cell": [[-1.031, -2.315, -1.861], [-1.408, -1.355, 2.466], [-3.740, 4.558, -3.598]], "species": ["Rh", "As", "As", "Mo"], "frac_coords": [[0.500, 0.750, 0.750], [0.000, 0.988, 0.491], [0.000, 0.512, 0.009], [0.500, 0.250, 0.250]]}

***

Number 1: size of the total moment 0.739 μB per atom. Number 2: size of the total moment 0.000 μB per atom. Number 3: size of the total moment 0.772 μB per atom. Number 4: size of the total moment 0.000 μB per atom. Number 5: size of the total moment 0.057 μB per atom. Number 6: size of the total moment 0.000 μB per atom. Number 7: size of the total moment 0.000 μB per atom. Number 8: size of the total moment 0.000 μB per atom.